Material: SbWBr
Method: DFT, PBE
State: relaxed

The calculation puts the spin magnetization at 2.0 μB/f.u. As for the raw formation energy: 1.498 eV per atom. The theoretical density is 8.024 Mg/m³. Its volume is 319 Å³ per cell. The value obtained for the final energy is -57.01 eV/cell. The calculation puts the relative energy among the computed polymorphs at 337.2 kJ/mol of formula units.

The space group is F-43m (No. 216) and the conventional cell measures 6.8336, 6.8336 and 6.8336 Å, with angles of 90.00, 90.00 and 90.00 degrees. The asymmetric unit holds Sb at (0.0000, 0.0000, 0.0000), W at (0.2500, 0.2500, 0.7500) and Br at (0.2500, 0.2500, 0.2500).